[1]
VASP calculation (PBE) on crystalline FeMo2Os at its relaxed geometry.

## Properties
DOS(E_F)	1.143	states/eV per atom
spin magnetization	2.5	μB per cell
space group	P4/mmm
calculated volume	58.7	Å³/cell
total DFT energy (no corrections)	-10.11	eV/atom
energy relative to the elements	0.9	eV/f.u.

Cell: 4.348 4.348 3.103 Å, 90.00 90.00 90.00°
Site moments in Bohr magnetons follow the coordinates.
Sites, in units of the cell vectors:
Mo1 0.500 0.500 0.000  0.09
Mo2 0.000 0.000 0.000  0.09
Os1 0.500 0.000 0.500  0.02
Fe1 0.000 0.500 0.500  2.30

[2]
VASP calculation (PBE) on crystalline FeMoOs2 at its relaxed geometry.

## Properties
DOS(E_F)	0.927	states/eV per atom
spin magnetization	1.3	μB per cell
space group	P4/mmm
calculated volume	55.8	Å³/cell
total DFT energy (no corrections)	-10.38	eV/atom
energy relative to the elements	0.2	eV/f.u.

Cell: 3.791 3.835 3.835 Å, 90.00 90.00 90.00°
Site moments in Bohr magnetons follow the coordinates.
Sites, in units of the cell vectors:
Fe1 0.500 0.500 0.000  1.57
Os1 0.000 0.000 0.000  -0.04
Os2 0.000 0.500 0.500  -0.04
Mo1 0.500 0.000 0.500  -0.21

[3]
VASP calculation (PBE) on crystalline Fe2MoOs at its relaxed geometry.

## Properties
DOS(E_F)	0.893	states/eV per atom
spin magnetization	5.0	μB per cell
space group	P4mm
calculated volume	53.6	Å³/cell
total DFT energy (no corrections)	-9.64	eV/atom
energy relative to the elements	0.4	eV/f.u.

Cell: 2.933 2.933 6.238 Å, 90.00 90.00 90.00°
Site moments in Bohr magnetons follow the coordinates.
Sites, in units of the cell vectors:
Fe1 0.000 0.000 0.018  2.60
Fe2 0.500 0.500 0.229  2.20
Mo1 0.000 0.000 0.488  -0.03
Os1 0.500 0.500 0.765  0.23

[4]
VASP calculation (PBE) on crystalline FeMoOs2 at its relaxed geometry.

## Properties
DOS(E_F)	0.805	states/eV per atom
spin magnetization	1.4	μB per cell
space group	R3m
calculated volume	56.4	Å³/cell
total DFT energy (no corrections)	-10.24	eV/atom
energy relative to the elements	0.8	eV/f.u.

Cell: 8.969 8.969 8.969 Å, 17.42 17.42 17.42°
Site moments in Bohr magnetons follow the coordinates.
Sites, in units of the cell vectors:
Fe1 0.503 0.503 0.503  1.73
Mo1 0.752 0.752 0.752  -0.13
Os1 0.246 0.246 0.246  -0.10
Os2 0.999 0.999 0.999  -0.09

[5]
VASP calculation (PBE) on crystalline FeMoOs2 at its relaxed geometry.

## Properties
DOS(E_F)	1.157	states/eV per atom
spin magnetization	3.5	μB per cell
space group	I-42d
calculated volume	125.0	Å³/cell
total DFT energy (no corrections)	-9.69	eV/atom
energy relative to the elements	3.0	eV/f.u.

Cell: 3.801 3.801 9.056 Å, 77.88 77.88 90.00°
Site moments in Bohr magnetons follow the coordinates.
Sites, in units of the cell vectors:
Fe1 0.500 0.500 0.000  1.88
Fe2 0.250 0.750 0.500  1.88
Os1 0.584 0.125 0.250  -0.01
Os2 0.375 0.416 0.750  -0.01
Os3 0.875 0.834 0.750  -0.01
Os4 0.166 0.625 0.250  -0.01
Mo1 0.000 0.000 0.000  -0.13
Mo2 0.750 0.250 0.500  -0.13

[6]
VASP calculation (PBE) on crystalline FeMoOs2 at its relaxed geometry.

## Properties
DOS(E_F)	1.044	states/eV per atom
spin magnetization	1.1	μB per cell
space group	Pmm2
calculated volume	55.9	Å³/cell
total DFT energy (no corrections)	-10.32	eV/atom
energy relative to the elements	0.5	eV/f.u.

Cell: 2.716 3.789 5.431 Å, 90.00 90.00 90.00°
Site moments in Bohr magnetons follow the coordinates.
Sites, in units of the cell vectors:
Mo1 0.500 0.500 0.738  -0.14
Os1 0.000 0.000 0.011  -0.02
Os2 0.500 0.500 0.261  -0.04
Fe1 0.000 0.000 0.490  1.34

[7]
VASP calculation (PBE) on crystalline FeMo4Os at its relaxed geometry.

## Properties
DOS(E_F)	0.941	states/eV per atom
spin magnetization	1.8	μB per cell
space group	F-43m
calculated volume	95.0	Å³/cell
total DFT energy (no corrections)	-10.02	eV/atom
energy relative to the elements	2.9	eV/f.u.

Cell: 5.121 5.121 5.121 Å, 60.00 60.00 60.00°
Site moments in Bohr magnetons follow the coordinates.
Sites, in units of the cell vectors:
Mo1 0.374 0.879 0.374  -0.11
Mo2 0.879 0.374 0.374  -0.11
Mo3 0.374 0.374 0.879  -0.11
Mo4 0.374 0.374 0.374  -0.11
Os1 0.750 0.750 0.750  -0.19
Fe1 0.000 0.000 0.000  2.60

[8]
VASP calculation (PBE) on crystalline FeMoOs2 at its relaxed geometry.

## Properties
DOS(E_F)	1.258	states/eV per atom
spin magnetization	2.7	μB per cell
space group	F-43m
calculated volume	57.3	Å³/cell
total DFT energy (no corrections)	-10.08	eV/atom
energy relative to the elements	1.4	eV/f.u.

Cell: 4.328 4.328 4.328 Å, 60.00 60.00 60.00°
Site moments in Bohr magnetons follow the coordinates.
Sites, in units of the cell vectors:
Os1 0.000 0.000 0.000  0.03
Os2 0.250 0.250 0.250  0.31
Fe1 0.500 0.500 0.500  2.38
Mo1 0.750 0.750 0.750  -0.04